1.
! PBEsol ZrMnCr2, relaxed; values from VASP
&SYSTEM
  ibrav = 0, nat = 4, ntyp = 3
/
ATOMIC_SPECIES
Zr 91.22 Zr.upf
Mn 54.94 Mn.upf
Cr 52.00 Cr.upf
ATOMIC_POSITIONS angstrom
Zr 0.000 0.000 0.000
Mn 0.000 2.171 1.957
Cr 1.483 0.000 2.196
Cr 0.000 0.000 4.130
CELL_PARAMETERS angstrom
-1.483 2.171 4.120
1.483 -2.171 4.120
1.483 2.171 -4.120
! Symmetry: Imm2 (44)
! Fermi-level density of states, states/eV/atom: 0.812
! Uncorrected energy, Ha/atom: -0.3522
! Energy of formation, eV/f.u.: 1.00

=====

2.
! PBEsol Cr2Mo, relaxed; values from VASP
&SYSTEM
  ibrav = 0, nat = 24, ntyp = 2
/
ATOMIC_SPECIES
Cr 52.00 Cr.upf
Mo 95.94 Mo.upf
ATOMIC_POSITIONS angstrom
Cr -1.189 2.060 0.000
Cr -1.189 2.060 7.759
Cr 0.000 1.349 3.880
Cr -1.210 3.446 3.880
Cr 1.168 0.675 11.639
Cr 0.000 2.747 1.905
Cr 0.000 2.747 5.855
Cr 2.379 0.000 0.000
Cr 2.379 0.000 7.759
Cr 1.189 2.060 0.000
Cr 1.189 2.060 7.759
Cr 2.379 1.373 9.664
Cr 2.379 1.373 13.614
Cr 1.210 3.446 3.880
Cr 3.589 0.675 11.639
Cr 2.379 2.771 11.639
Mo 0.000 0.000 1.498
Mo 0.000 0.000 6.261
Mo 0.000 0.000 9.257
Mo 0.000 0.000 14.020
Mo 0.000 2.747 10.170
Mo 0.000 2.747 13.107
Mo 2.379 1.373 2.411
Mo 2.379 1.373 5.348
CELL_PARAMETERS angstrom
4.758 0.000 0.000
-2.379 4.120 0.000
0.000 0.000 15.518
! Symmetry: P6_3/mmc (194)
! Fermi-level density of states, states/eV/atom: 1.646
! Uncorrected energy, Ha/atom: -0.3912
! Energy of formation, eV/f.u.: 0.32

=====

3.
! PBEsol Cr3Mo4, relaxed; values from VASP
&SYSTEM
  ibrav = 0, nat = 7, ntyp = 2
/
ATOMIC_SPECIES
Cr 52.00 Cr.upf
Mo 95.94 Mo.upf
ATOMIC_POSITIONS angstrom
Cr 0.000 0.000 0.000
Cr 0.000 0.000 5.953
Cr 0.000 0.000 15.078
Mo 0.000 0.000 3.103
Mo 0.000 0.000 9.034
Mo 0.000 0.000 11.998
Mo 0.000 0.000 17.929
CELL_PARAMETERS angstrom
-1.504 1.504 10.516
1.504 -1.504 10.516
1.504 1.504 -10.516
! Symmetry: I4/mmm (139)
! Fermi-level density of states, states/eV/atom: 0.673
! Uncorrected energy, Ha/atom: -0.4051
! Energy of formation, eV/f.u.: 0.64

=====

4.
! PBEsol Cr5Mo, relaxed; values from VASP
&SYSTEM
  ibrav = 0, nat = 6, ntyp = 2
/
ATOMIC_SPECIES
Cr 52.00 Cr.upf
Mo 95.94 Mo.upf
ATOMIC_POSITIONS angstrom
Cr -1.151 1.994 0.000
Cr 0.000 2.659 2.042
Cr 2.303 0.000 0.000
Cr 1.151 1.994 0.000
Cr 2.303 1.330 2.042
Mo 0.000 0.000 2.042
CELL_PARAMETERS angstrom
4.606 0.000 0.000
-2.303 3.989 0.000
0.000 0.000 4.083
! Symmetry: P6/mmm (191)
! Fermi-level density of states, states/eV/atom: 1.055
! Uncorrected energy, Ha/atom: -0.3715
! Energy of formation, eV/f.u.: 2.32